1.
Here is crystalline NiSbTe at its relaxed geometry from Alexandria. Energies are from PBE.

```
NiSbTe
1.0
6.344 0.000 0.000
0.000 6.647 -0.033
0.000 -1.868 6.369
Ni Sb Te
4 4 4
Cartesian
0.011 1.183 1.576 Ni
3.160 4.507 1.560 Ni
6.332 3.596 4.761 Ni
3.183 0.272 4.777 Ni
4.058 4.567 4.005 Sb
2.286 0.212 2.331 Sb
0.886 3.536 2.315 Sb
5.458 1.243 4.022 Sb
4.034 2.122 0.900 Te
2.310 2.657 5.437 Te
5.482 5.446 0.884 Te
0.862 -0.667 5.453 Te
```

Properties
magnetization = 0.00 μB per formula unit
symmetry = No. 14
VASP energy = -4.567 eV per atom
V = 268.22 Å³/cell
E_form (uncorrected) = -0.218 eV/atom



2.
Here is crystalline SrOsRh at its relaxed geometry from Alexandria. Energies are from PBE.

```
SrOsRh
1.0
-0.006 -2.137 -2.066
1.811 2.340 -0.287
5.244 -3.603 3.712
Os Rh Sr
1 1 1
Cartesian
0.164 -0.113 0.116 Os
2.187 -1.735 -0.350 Rh
4.698 -1.553 1.593 Sr
```

Properties
magnetization = 0.00 μB per formula unit
symmetry = No. 156
VASP energy = -5.828 eV per atom
V = 56.36 Å³/cell
formation energy from the elements = 0.926 eV/atom



3.
Here is crystalline Rb2Ga4Mo at its relaxed geometry from Alexandria. Energies are from PBE.

```
Rb2Ga4Mo
1.0
5.112 0.000 0.000
0.000 5.112 0.000
2.556 2.556 8.967
Mo Ga Rb
1 4 2
Cartesian
0.000 0.000 0.000 Mo
5.112 5.112 2.400 Ga
2.556 2.556 6.567 Ga
0.000 2.556 0.000 Ga
2.556 0.000 0.000 Ga
5.112 5.112 6.293 Rb
2.556 2.556 2.674 Rb
```

Properties
magnetization = 0.00 μB per formula unit
symmetry = No. 139
VASP energy = -3.426 eV per atom
V = 234.37 Å³/cell
formation energy from the elements = 0.128 eV/atom



4.
Here is crystalline NdY2S at its relaxed geometry from Alexandria. Energies are from PBE.

```
NdY2S
1.0
-3.185 1.774 0.573
-2.318 0.585 -2.811
-6.426 -8.080 1.195
Y S Nd
2 1 1
Cartesian
-4.868 -5.072 0.536 Y
-7.060 -0.649 -1.580 Y
-5.964 -2.861 -0.522 S
0.000 0.000 0.000 Nd
```

Properties
magnetization = 0.00 μB per formula unit
symmetry = No. 166
VASP energy = -6.231 eV per atom
V = 119.97 Å³/cell
E_form (uncorrected) = -0.775 eV/atom